First-principles (GGA-PBE) data for crystalline Tb2Ge3Pd5 at its relaxed geometry, as listed in Alexandria.

Cell: 4.319 6.821 12.362 Å, 90.00 100.06 90.00°
Fractional positions:
Tb 0.477 0.717 0.954
Tb 0.174 0.761 0.349
Tb 0.826 0.261 0.651
Tb 0.523 0.217 0.046
Ge 0.774 0.814 0.548
Ge 0.620 0.456 0.241
Ge 0.049 0.929 0.097
Ge 0.226 0.314 0.452
Ge 0.951 0.429 0.903
Ge 0.380 0.956 0.759
Pd 0.404 0.329 0.808
Pd 0.302 0.588 0.604
Pd 0.698 0.088 0.396
Pd 0.124 0.212 0.248
Pd 0.277 0.005 0.553
Pd 0.944 0.053 0.889
Pd 0.723 0.505 0.447
Pd 0.876 0.712 0.752
Pd 0.056 0.553 0.111
Pd 0.596 0.829 0.192

**Magnetic moment**: 0.00 μB per formula unit
**Energy above the lowest structure with this stoichiometry**: 0.000 eV/atom
**ΔH_f (0 K)**: -7.90 eV/f.u.